(1)
Below is a relaxed structure of InPt2Se, with properties calculated at the PBE level.

Unit cell a=5.857 b=5.857 c=5.857 alpha=145.53 beta=136.91 gamma=56.31
Positions (direct):
In (0.000, 0.000, 0.000)
Pt (0.454, 0.454, 0.000)
Pt (0.665, 0.165, 0.500)
Se (0.269, 0.769, 0.500)

Computed properties:
**Formation energy (no corrections)**: -0.10 eV/atom
**Total magnetic moment**: 0.0 μB per cell



(2)
Below is a relaxed structure of InPtSe2, with properties calculated at the PBE level.

Unit cell a=4.385 b=3.747 c=6.435 alpha=90.00 beta=92.47 gamma=90.00
Positions (direct):
In (0.000, 0.000, 0.000)
Pt (0.507, 0.500, 0.898)
Se (0.339, 0.000, 0.665)
Se (0.790, 0.500, 0.249)

Computed properties:
**Formation energy (no corrections)**: -0.22 eV/atom
**Total magnetic moment**: 0.0 μB per cell



(3)
Below is a relaxed structure of In3PtSe, with properties calculated at the PBE level.

Unit cell a=5.338 b=5.338 c=5.338 alpha=90.00 beta=90.00 gamma=90.00
Positions (direct):
In (0.000, 0.000, 0.500)
In (0.000, 0.500, 0.000)
In (0.500, 0.000, 0.000)
Pt (0.500, 0.500, 0.500)
Se (0.000, 0.000, 0.000)

Computed properties:
**Formation energy (no corrections)**: 0.65 eV/atom
**Total magnetic moment**: 0.0 μB per cell
**Energy above the most stable polymorph in this dataset**: 0.930 eV/atom



(4)
Below is a relaxed structure of InPt2Se, with properties calculated at the PBE level.

Unit cell a=4.621 b=4.621 c=5.431 alpha=103.52 beta=103.52 gamma=40.42
Positions (direct):
In (0.000, 0.000, 0.000)
Pt (0.248, 0.248, 0.748)
Pt (0.752, 0.752, 0.252)
Se (0.500, 0.500, 0.500)

Computed properties:
**Formation energy (no corrections)**: -0.06 eV/atom
**Total magnetic moment**: 0.0 μB per cell



(5)
Below is a relaxed structure of InPtSe3, with properties calculated at the PBE level.

Unit cell a=5.034 b=5.034 c=5.034 alpha=90.00 beta=90.00 gamma=90.00
Positions (direct):
In (0.000, 0.000, 0.000)
Pt (0.500, 0.500, 0.500)
Se (0.000, 0.500, 0.500)
Se (0.500, 0.000, 0.500)
Se (0.500, 0.500, 0.000)

Computed properties:
**Formation energy (no corrections)**: 0.21 eV/atom
**Total magnetic moment**: 0.0 μB per cell
**Energy above the most stable polymorph in this dataset**: 0.000 eV/atom



(6)
Below is a relaxed structure of In3PtSe, with properties calculated at the PBE level.

Unit cell a=5.195 b=5.195 c=5.195 alpha=90.00 beta=90.00 gamma=90.00
Positions (direct):
In (0.000, 0.000, 0.500)
In (0.000, 0.500, 0.000)
In (0.500, 0.000, 0.000)
Pt (0.000, 0.000, 0.000)
Se (0.500, 0.500, 0.500)

Computed properties:
**Formation energy (no corrections)**: -0.28 eV/atom
**Total magnetic moment**: 0.0 μB per cell
**Energy above the most stable polymorph in this dataset**: 0.000 eV/atom



(7)
Below is a relaxed structure of InPt2Se, with properties calculated at the PBE level.

Unit cell a=2.918 b=4.922 c=5.119 alpha=90.00 beta=90.03 gamma=90.00
Positions (direct):
In (0.000, 0.000, 0.000)
Pt (0.498, 0.000, 0.505)
Pt (0.500, 0.500, 0.875)
Se (0.498, 0.500, 0.381)

Computed properties:
**Formation energy (no corrections)**: -0.18 eV/atom
**Total magnetic moment**: 0.0 μB per cell



(8)
Below is a relaxed structure of InPt2Se, with properties calculated at the PBE level.

Unit cell a=4.391 b=4.391 c=3.699 alpha=90.07 beta=90.07 gamma=89.95
Positions (direct):
In (0.000, 0.000, 0.000)
Pt (0.000, 0.500, 0.500)
Pt (0.500, 0.000, 0.500)
Se (0.500, 0.500, 0.000)

Computed properties:
**Formation energy (no corrections)**: -0.06 eV/atom
**Total magnetic moment**: 0.0 μB per cell



(9)
Below is a relaxed structure of InPtSe2, with properties calculated at the PBE level.

Unit cell a=7.096 b=7.096 c=7.096 alpha=32.02 beta=32.02 gamma=32.02
Positions (direct):
In (0.000, 0.000, 0.000)
Pt (0.500, 0.500, 0.500)
Se (0.232, 0.232, 0.232)
Se (0.768, 0.768, 0.768)

Computed properties:
**Formation energy (no corrections)**: -0.28 eV/atom
**Total magnetic moment**: 0.0 μB per cell



(10)
Below is a relaxed structure of In4PtSe, with properties calculated at the PBE level.

Unit cell a=5.972 b=5.972 c=5.972 alpha=60.00 beta=60.00 gamma=60.00
Positions (direct):
In (0.125, 0.125, 0.125)
In (0.125, 0.125, 0.626)
In (0.125, 0.626, 0.125)
In (0.626, 0.125, 0.125)
Pt (0.750, 0.750, 0.750)
Se (0.500, 0.500, 0.500)

Computed properties:
**Formation energy (no corrections)**: 0.39 eV/atom
**Total magnetic moment**: 0.0 μB per cell



(11)
Below is a relaxed structure of InPtSe2, with properties calculated at the PBE level.

Unit cell a=3.261 b=3.261 c=7.987 alpha=90.00 beta=90.00 gamma=90.00
Positions (direct):
In (0.000, 0.000, 0.000)
Pt (0.000, 0.000, 0.500)
Se (0.500, 0.500, 0.302)
Se (0.500, 0.500, 0.698)

Computed properties:
**Formation energy (no corrections)**: 0.17 eV/atom
**Total magnetic moment**: 0.0 μB per cell



(12)
Below is a relaxed structure of InPtSe2, with properties calculated at the PBE level.

Unit cell a=7.359 b=7.359 c=7.359 alpha=131.84 beta=131.84 gamma=70.48
Positions (direct):
In (0.000, 0.000, 0.000)
In (0.750, 0.250, 0.500)
Pt (0.250, 0.750, 0.500)
Pt (0.500, 0.500, 0.000)
Se (0.161, 0.625, 0.036)
Se (0.375, 0.411, 0.536)
Se (0.589, 0.125, 0.964)
Se (0.875, 0.839, 0.464)

Computed properties:
**Formation energy (no corrections)**: -0.22 eV/atom
**Total magnetic moment**: 0.0 μB per cell



(13)
Below is a relaxed structure of InPtSe2, with properties calculated at the PBE level.

Unit cell a=7.390 b=7.390 c=7.390 alpha=151.79 beta=151.64 gamma=40.43
Positions (direct):
In (0.000, 0.000, 0.000)
Pt (0.292, 0.792, 0.500)
Se (0.582, 0.582, 0.000)
Se (0.825, 0.325, 0.500)

Computed properties:
**Formation energy (no corrections)**: -0.06 eV/atom
**Total magnetic moment**: 0.0 μB per cell



(14)
Below is a relaxed structure of InPt2Se, with properties calculated at the PBE level.

Unit cell a=3.599 b=3.599 c=5.799 alpha=90.00 beta=90.00 gamma=90.00
Positions (direct):
In (0.000, 0.000, 0.000)
Pt (0.000, 0.000, 0.505)
Pt (0.500, 0.500, 0.200)
Se (0.500, 0.500, 0.624)

Computed properties:
**Formation energy (no corrections)**: -0.21 eV/atom
**Total magnetic moment**: 0.0 μB per cell



(15)
Below is a relaxed structure of In2SiPtSe, with properties calculated at the PBE level.

Unit cell a=5.325 b=5.325 c=4.482 alpha=90.00 beta=90.00 gamma=90.00
Positions (direct):
In (0.000, 0.500, 0.000)
In (0.500, 0.000, 0.000)
Si (0.000, 0.000, 0.000)
Pt (0.000, 0.000, 0.500)
Se (0.500, 0.500, 0.500)

Computed properties:
**Formation energy (no corrections)**: 0.22 eV/atom
**Total magnetic moment**: 0.0 μB per cell



(16)
Below is a relaxed structure of In2TePtSe, with properties calculated at the PBE level.

Unit cell a=5.002 b=5.002 c=5.896 alpha=90.00 beta=90.00 gamma=90.00
Positions (direct):
In (0.000, 0.500, 0.000)
In (0.500, 0.000, 0.000)
Te (0.000, 0.000, 0.596)
Pt (0.000, 0.000, 0.171)
Se (0.500, 0.500, 0.744)

Computed properties:
**Formation energy (no corrections)**: -0.14 eV/atom
**Total magnetic moment**: 0.0 μB per cell



(17)
Below is a relaxed structure of TiInPt2Se, with properties calculated at the PBE level.

Unit cell a=4.977 b=4.977 c=5.123 alpha=90.00 beta=90.00 gamma=90.00
Positions (direct):
Ti (0.000, 0.000, 0.000)
In (0.500, 0.500, 0.500)
Pt (0.000, 0.500, 0.500)
Pt (0.500, 0.000, 0.500)
Se (0.500, 0.500, 0.000)

Computed properties:
**Formation energy (no corrections)**: 0.86 eV/atom
**Total magnetic moment**: 1.7 μB per cell



(18)
Below is a relaxed structure of In2PtWSe, with properties calculated at the PBE level.

Unit cell a=5.413 b=5.413 c=4.787 alpha=90.00 beta=90.00 gamma=90.00
Positions (direct):
In (0.000, 0.500, 0.000)
In (0.500, 0.000, 0.000)
Pt (0.000, 0.000, 0.500)
W (0.000, 0.000, 0.000)
Se (0.500, 0.500, 0.500)

Computed properties:
**Formation energy (no corrections)**: 0.94 eV/atom
**Total magnetic moment**: 1.5 μB per cell



(19)
Below is a relaxed structure of InPt2WSe, with properties calculated at the PBE level.

Unit cell a=4.714 b=4.714 c=4.696 alpha=90.00 beta=90.00 gamma=90.00
Positions (direct):
In (0.000, 0.000, 0.000)
Pt (0.000, 0.500, 0.500)
Pt (0.500, 0.000, 0.500)
W (0.500, 0.500, 0.000)
Se (0.500, 0.500, 0.500)

Computed properties:
**Formation energy (no corrections)**: 0.84 eV/atom
**Total magnetic moment**: 0.0 μB per cell
**Energy above the most stable polymorph in this dataset**: 0.000 eV/atom



(20)
Below is a relaxed structure of InPt2WSe, with properties calculated at the PBE level.

Unit cell a=4.832 b=4.832 c=5.409 alpha=90.00 beta=90.00 gamma=90.00
Positions (direct):
In (0.000, 0.000, 0.000)
Pt (0.000, 0.500, 0.500)
Pt (0.500, 0.000, 0.500)
W (0.000, 0.000, 0.500)
Se (0.500, 0.500, 0.000)

Computed properties:
**Formation energy (no corrections)**: 1.10 eV/atom
**Total magnetic moment**: 0.4 μB per cell
**Energy above the most stable polymorph in this dataset**: 0.260 eV/atom